The following is a PBE calculation of CrReTe2 after structural relaxation, from Alexandria via LeMat-Bulk.

Values from the calculation:
DOS at the Fermi energy: 3.91 states/eV/cell
ΔE to the lowest computed polymorph: 0.000 eV/atom
Total magnetization: 1.72 μB per formula unit
Symmetry: P-4m2
Formation energy (no corrections): 0.643 eV/f.u.

Unit cell a=3.810 b=3.810 c=7.021 alpha=90.00 beta=90.00 gamma=90.00
Fractional positions:
1 Cr 0.000 0.000 0.000
2 Re 0.500 0.500 0.000
3 Te 0.000 0.500 0.268
4 Te 0.500 0.000 0.732